Density functional theory data (PBE) for U2CoP after structural relaxation.

Lattice parameters (Å, degrees): 3.9249 3.9249 4.2053 90.00 90.00 90.00
Space group P4/mmm (No. 123)
Unique sites:
1 U 0.0000 0.5000 0.0000 x2
2 Co 0.0000 0.0000 0.5000 x1
3 P 0.5000 0.5000 0.5000 x1

Values from the calculation:
- Total magnetic moment: 0.1 μB per cell
- N(E_F): 2.59 states/eV/atom
- Calculated total energy: -9.03 eV/atom
- Formation enthalpy at 0 K: -0.261 eV per atom



Density functional theory data (PBE) for UCo5P2 after structural relaxation.

Lattice parameters (Å, degrees): 3.5670 6.3148 8.7989 90.00 90.00 90.00
Space group Immm (No. 71)
Unique sites:
1 U 0.0000 0.0000 0.0000 x2
2 Co 0.0000 0.1957 0.3555 x8
3 Co 0.0000 0.5000 0.0000 x2
4 P 0.0000 0.5000 0.2431 x4

Values from the calculation:
- Total magnetic moment: 1.2 μB per cell
- N(E_F): 1.08 states/eV/atom
- Calculated total energy: -7.77 eV/atom
- Formation enthalpy at 0 K: -0.569 eV per atom



Density functional theory data (PBE) for U2CoP2 after structural relaxation.

Lattice parameters (Å, degrees): 6.3707 7.5614 3.6235 90.00 90.00 90.00
Space group Pbam (No. 55)
Unique sites:
1 U 0.0897 0.1458 0.0000 x4
2 Co 0.0000 0.5000 0.0000 x2
3 P 0.2217 0.4127 0.5000 x4

Values from the calculation:
- Total magnetic moment: 0.0 μB per cell
- N(E_F): 1.73 states/eV/atom
- Calculated total energy: -8.60 eV/atom
- Formation enthalpy at 0 K: -0.504 eV per atom